First-principles (PBE) data for an optimized crystal structure of BIrAu, as listed in Alexandria.

Cell lengths 2.859, 2.874, 5.072 Å; angles 106.36, 89.97, 90.00 degrees
Sites, in units of the cell vectors:
Ir  0.544  0.861  0.681
B  0.044  0.442  0.845
Au  0.044  0.127  0.221

As for the space-group type: Pm. Its calculated density is 16.61 g/cm³. The calculation puts the formation energy from the elements at 0.058 eV/atom.



First-principles (PBE) data for an optimized crystal structure of Ce3Al6Pt5, as listed in Alexandria.

Cell lengths 4.294, 9.451, 12.902 Å; angles 90.00, 90.00, 90.00 degrees
Sites, in units of the cell vectors:
Al  0.500  0.961  0.000
Al  0.500  0.019  0.347
Al  0.500  0.579  0.000
Al  0.000  0.981  0.847
Al  0.500  0.414  0.820
Al  0.000  0.039  0.500
Al  0.500  0.414  0.180
Al  0.000  0.586  0.680
Al  0.500  0.019  0.653
Al  0.000  0.421  0.500
Al  0.000  0.586  0.320
Al  0.000  0.981  0.153
Ce  0.000  0.246  0.301
Ce  0.500  0.754  0.801
Ce  0.000  0.257  0.000
Ce  0.500  0.754  0.199
Ce  0.000  0.246  0.699
Ce  0.500  0.743  0.500
Pt  0.500  0.133  0.844
Pt  0.000  0.867  0.656
Pt  0.000  0.538  0.883
Pt  0.000  0.800  0.000
Pt  0.500  0.462  0.383
Pt  0.000  0.538  0.117
Pt  0.000  0.867  0.344
Pt  0.500  0.133  0.156
Pt  0.500  0.462  0.617
Pt  0.500  0.200  0.500

As for the space-group type: Pmmn. Its calculated density is 9.88 g/cm³. The calculation puts the formation energy from the elements at -1.036 eV/atom.



First-principles (PBE) data for an optimized crystal structure of Fe3Co5, as listed in Alexandria.

Cell lengths 4.924, 4.924, 4.904 Å; angles 109.34, 109.34, 109.89 degrees
Sites, in units of the cell vectors:
Co  0.500  0.000  0.000
Co  0.000  0.000  0.500
Co  0.000  0.000  0.000
Co  0.000  0.500  0.000
Co  0.500  0.500  0.000
Fe  0.500  0.000  0.500
Fe  0.500  0.500  0.500
Fe  0.000  0.500  0.500

As for the space-group type: Fmmm. Its calculated density is 8.40 g/cm³. The calculation puts the formation energy from the elements at 0.009 eV/atom.



First-principles (PBE) data for an optimized crystal structure of NaAlSb, as listed in Alexandria.

Cell lengths 4.258, 8.472, 5.659 Å; angles 116.04, 112.10, 90.00 degrees
Sites, in units of the cell vectors:
Na  0.438  0.145  0.875
Na  0.562  0.855  0.125
Al  0.860  0.456  0.721
Al  0.140  0.544  0.279
Sb  0.802  0.748  0.604
Sb  0.198  0.252  0.396

As for the space-group type: C2/m. The value obtained for the uncorrected formation energy is -0.232 eV per atom. Its calculated density is 3.42 g/cm³.



First-principles (PBE) data for an optimized crystal structure of SmSc5As4, as listed in Alexandria.

Cell lengths 6.383, 8.508, 9.431 Å; angles 90.00, 90.00, 90.00 degrees
Sites, in units of the cell vectors:
Sc  0.255  0.754  0.789
Sc  0.255  0.246  0.211
Sc  0.255  0.246  0.789
Sc  0.239  0.000  0.500
Sc  0.745  0.254  0.711
Sc  0.761  0.500  0.000
Sc  0.745  0.254  0.289
Sc  0.255  0.754  0.211
Sc  0.745  0.746  0.711
Sc  0.745  0.746  0.289
Sm  0.839  0.000  0.000
Sm  0.161  0.500  0.500
As  0.531  0.242  0.000
As  0.999  0.500  0.224
As  0.531  0.758  0.000
As  0.999  0.500  0.776
As  0.001  0.000  0.724
As  0.001  0.000  0.276
As  0.469  0.742  0.500
As  0.469  0.258  0.500

As for the space-group type: Pmmn. Its calculated density is 4.38 g/cm³. The calculation puts the formation energy from the elements at -0.869 eV/atom.



First-principles (PBE) data for an optimized crystal structure of Ca3HfPd, as listed in Alexandria.

Cell lengths 5.825, 5.825, 5.825 Å; angles 90.00, 90.00, 90.00 degrees
Sites, in units of the cell vectors:
Hf  0.000  0.000  0.000
Ca  0.500  0.000  0.000
Ca  0.000  0.500  0.000
Ca  0.000  0.000  0.500
Pd  0.500  0.500  0.500

As for the space-group type: Pm-3m. Its calculated density is 3.40 g/cm³. For the energy relative to the lowest polymorph listed for this composition, the calculation gives 0.8664 eV/atom. The calculation puts the formation energy from the elements at 1.186 eV/atom.



First-principles (PBE) data for an optimized crystal structure of La5RuAu, as listed in Alexandria.

Cell lengths 7.125, 7.125, 11.265 Å; angles 69.96, 69.96, 62.77 degrees
Sites, in units of the cell vectors:
La  0.380  0.060  0.360
La  0.048  0.952  0.750
La  0.443  0.765  0.987
La  0.952  0.048  0.250
La  0.060  0.380  0.860
La  0.765  0.443  0.487
La  0.620  0.940  0.640
La  0.557  0.235  0.013
La  0.940  0.620  0.140
La  0.235  0.557  0.513
Au  0.531  0.469  0.250
Au  0.469  0.531  0.750
Ru  0.000  0.000  0.500
Ru  0.000  0.000  0.000

As for the space-group type: C2/c. Its calculated density is 7.08 g/cm³. The calculation puts the formation energy from the elements at -0.255 eV/atom.



First-principles (PBE) data for an optimized crystal structure of Pm2Y6Tl, as listed in Alexandria.

Cell lengths 3.531, 10.214, 9.685 Å; angles 121.82, 100.51, 90.00 degrees
Sites, in units of the cell vectors:
Pm  0.154  0.653  0.306
Pm  0.846  0.347  0.694
Y  0.824  0.986  0.647
Y  0.824  0.661  0.647
Y  0.176  0.014  0.353
Y  0.176  0.339  0.353
Y  0.500  0.699  0.000
Y  0.500  0.301  0.000
Tl  0.000  0.000  0.000

As for the space-group type: Immm. Its calculated density is 5.89 g/cm³. For the energy relative to the lowest polymorph listed for this composition, the calculation gives 0.0389 eV/atom. The calculation puts the formation energy from the elements at -0.003 eV/atom.



Question: Which value of calculated density does entry 1 give?
Answer: 16.61 g/cm³